! Pm2Pu2Sb2H (PBE-GGA, relaxed); values from VASP
&SYSTEM
  ibrav = 0, nat = 7, ntyp = 4
/
ATOMIC_SPECIES
Sb 121.76 Sb.upf
Pu 244.00 Pu.upf
H 1.01 H.upf
Pm 145.00 Pm.upf
CELL_PARAMETERS angstrom
4.503 0.000 0.000
0.000 4.503 0.000
-2.252 -2.252 8.666
ATOMIC_POSITIONS angstrom
Sb 2.252 2.252 2.401
Pu 2.252 0.000 0.000
Sb 0.000 0.000 6.265
H 0.000 0.000 0.000
Pm 2.252 2.252 5.621
Pu 0.000 2.252 0.000
Pm 0.000 0.000 3.045
! DFT total energy in eV/atom: -7.849